Entry 1:
# LiMn2Br, PBEsol geometry, DFT SCAN
# **Fermi-level density of states**: 0.20 states/eV per atom
# **ΔE_f (raw)**: 0.00 eV per atom
# **Volume**: 64.40 Å³ per cell
# **Offset from the most stable computed form**: 0.000 eV/atom
# **Magnetic moment**: 8.1 μB/f.u.
data_LiMn2Br
_symmetry_space_group_name_H-M 'P 4/m m m'
_symmetry_Int_Tables_number 123
_symmetry_space_group_name_Hall '-P 4 2'
_cell_length_a 3.450
_cell_length_b 3.450
_cell_length_c 5.409
_cell_angle_alpha 90.00
_cell_angle_beta 90.00
_cell_angle_gamma 90.00
loop_
_atom_site_label
_atom_site_type_symbol
_atom_site_fract_x
_atom_site_fract_y
_atom_site_fract_z
Li1 Li 0.000 0.000 0.000
Mn1 Mn 0.500 0.500 0.237
Br1 Br 0.000 0.000 0.500

Entry 2:
# Li2CuP6H20C2N6O22, PBEsol geometry, DFT SCAN
# **E**: -7.586 eV/atom
# **Fermi-level density of states**: 0.00 states/eV per atom
# **Volume**: 582.81 Å³ per cell
# **Magnetic moment**: 1.0 μB/f.u.
data_Li2CuP6H20C2N6O22
_symmetry_space_group_name_H-M 'P -1'
_symmetry_Int_Tables_number 2
_cell_length_a 7.478
_cell_length_b 9.174
_cell_length_c 9.320
_cell_angle_alpha 87.67
_cell_angle_beta 70.84
_cell_angle_gamma 75.05
loop_
_symmetry_equiv_pos_as_xyz
'x,y,z'
'-x,-y,-z'
loop_
_atom_site_label
_atom_site_type_symbol
_atom_site_fract_x
_atom_site_fract_y
_atom_site_fract_z
Li1 Li 0.186 0.136 0.055
Cu1 Cu 0.500 0.500 0.500
P1 P 0.259 0.649 0.825
P2 P 0.340 0.329 0.788
P3 P 0.428 0.779 0.016
H1 H 0.054 0.511 0.209
H2 H 0.066 0.609 0.576
H3 H 0.157 0.916 0.693
H4 H 0.168 0.570 0.401
H5 H 0.194 0.819 0.449
H6 H 0.221 0.084 0.710
H7 H 0.228 0.377 0.218
H8 H 0.242 0.936 0.294
H9 H 0.336 0.215 0.493
H10 H 0.348 0.152 0.315
C1 C 0.245 0.022 0.493
N1 N 0.209 0.005 0.641
N2 N 0.223 0.920 0.407
N3 N 0.300 0.144 0.430
O1 O 0.081 0.770 0.828
O2 O 0.118 0.461 0.281
O3 O 0.177 0.625 0.488
O4 O 0.196 0.491 0.864
O5 O 0.234 0.211 0.852
O6 O 0.285 0.926 0.079
O7 O 0.321 0.666 0.971
O8 O 0.382 0.223 0.109
O9 O 0.403 0.339 0.617
O10 O 0.440 0.623 0.686
O11 O 0.476 0.685 0.156